[1]
Here is crystalline K2HfNp2Se6 at its relaxed geometry from Alexandria via LeMat-Bulk. Energies are from PBE-GGA.

a b c (Å): 7.060 7.060 8.229
angles (deg): 98.47 98.47 119.53
Sites, in units of the cell vectors:
K1 0.170 0.830 0.000
K2 0.830 0.170 0.000
Hf1 0.000 0.000 0.500
Np1 0.333 0.667 0.500
Np2 0.667 0.333 0.500
Se1 0.069 0.383 0.700
Se2 0.246 0.246 0.301
Se3 0.383 0.069 0.700
Se4 0.617 0.931 0.300
Se5 0.754 0.754 0.699
Se6 0.931 0.617 0.300

Output
Size of the total moment: 8.00 μB per formula unit
Electronic total energy: -73.03 eV for the cell shown
ΔE_f (raw): -1.28 eV/atom

[2]
Here is crystalline K3HfNp3Se8 at its relaxed geometry from Alexandria via LeMat-Bulk. Energies are from PBE-GGA.

a b c (Å): 9.181 9.181 9.181
angles (deg): 53.73 53.73 53.73
Sites, in units of the cell vectors:
K1 0.000 0.500 0.500
K2 0.500 0.000 0.500
K3 0.500 0.500 0.000
Hf1 0.500 0.500 0.500
Np1 0.000 0.000 0.500
Np2 0.000 0.500 0.000
Np3 0.500 0.000 0.000
Se1 0.235 0.235 0.235
Se2 0.252 0.722 0.722
Se3 0.278 0.278 0.748
Se4 0.278 0.748 0.278
Se5 0.722 0.252 0.722
Se6 0.722 0.722 0.252
Se7 0.748 0.278 0.278
Se8 0.765 0.765 0.765

Output
Size of the total moment: 12.00 μB per formula unit
Electronic total energy: -99.14 eV for the cell shown
ΔE_f (raw): -1.28 eV/atom

[3]
Here is crystalline K4HfNp3Se8 at its relaxed geometry from Alexandria via LeMat-Bulk. Energies are from PBE-GGA.

a b c (Å): 9.088 9.088 9.088
angles (deg): 54.58 54.58 54.58
Sites, in units of the cell vectors:
K1 0.000 0.000 0.000
K2 0.000 0.500 0.500
K3 0.500 0.000 0.500
K4 0.500 0.500 0.000
Hf1 0.500 0.500 0.500
Np1 0.000 0.000 0.500
Np2 0.000 0.500 0.000
Np3 0.500 0.000 0.000
Se1 0.237 0.237 0.237
Se2 0.253 0.725 0.725
Se3 0.275 0.275 0.747
Se4 0.275 0.747 0.275
Se5 0.725 0.253 0.725
Se6 0.725 0.725 0.253
Se7 0.747 0.275 0.275
Se8 0.763 0.763 0.763

Output
Size of the total moment: 13.01 μB per formula unit
Electronic total energy: -101.19 eV for the cell shown
ΔE_f (raw): -1.26 eV/atom

[4]
Here is crystalline K2HfNp2Te6 at its relaxed geometry from Alexandria via LeMat-Bulk. Energies are from PBE-GGA.

a b c (Å): 7.538 7.538 8.844
angles (deg): 98.58 98.58 119.68
Sites, in units of the cell vectors:
K1 0.171 0.829 0.000
K2 0.829 0.171 0.000
Hf1 0.000 0.000 0.500
Np1 0.332 0.668 0.500
Np2 0.668 0.332 0.500
Te1 0.074 0.387 0.705
Te2 0.245 0.245 0.297
Te3 0.387 0.074 0.705
Te4 0.613 0.926 0.295
Te5 0.755 0.755 0.703
Te6 0.926 0.613 0.295

Output
Size of the total moment: 8.00 μB per formula unit
Electronic total energy: -66.28 eV for the cell shown
ΔE_f (raw): -0.85 eV/atom

[5]
Here is crystalline K2HfNpTe4 at its relaxed geometry from Alexandria via LeMat-Bulk. Energies are from PBE-GGA.

a b c (Å): 7.561 4.335 8.683
angles (deg): 90.00 106.55 90.00
Sites, in units of the cell vectors:
K1 0.000 0.000 0.000
K2 0.500 0.500 0.000
Hf1 0.000 0.500 0.500
Np1 0.500 0.000 0.500
Te1 0.218 0.000 0.702
Te2 0.246 0.500 0.290
Te3 0.754 0.500 0.710
Te4 0.782 0.000 0.298

Output
Size of the total moment: 4.75 μB per formula unit
Electronic total energy: -44.66 eV for the cell shown
ΔE_f (raw): -0.88 eV/atom

[6]
Here is crystalline KHfO3 at its relaxed geometry from Alexandria via LeMat-Bulk. Energies are from PBE-GGA.

a b c (Å): 4.179 4.179 4.179
angles (deg): 90.00 90.00 90.00
Sites, in units of the cell vectors:
K1 0.000 0.000 0.000
Hf1 0.500 0.500 0.500
O1 0.000 0.500 0.500
O2 0.500 0.000 0.500
O3 0.500 0.500 0.000

Output
Size of the total moment: 1.00 μB per formula unit
Electronic total energy: -38.59 eV for the cell shown
ΔE_f (raw): -2.53 eV/atom

[7]
Here is crystalline KHf2O4 at its relaxed geometry from Alexandria via LeMat-Bulk. Energies are from PBE-GGA.

a b c (Å): 5.551 5.551 10.805
angles (deg): 90.00 90.00 145.73
Sites, in units of the cell vectors:
K1 0.117 0.883 0.750
K2 0.883 0.117 0.250
Hf1 0.371 0.629 0.568
Hf2 0.371 0.629 0.932
Hf3 0.629 0.371 0.068
Hf4 0.629 0.371 0.432
O1 0.000 0.000 0.000
O2 0.000 0.000 0.500
O3 0.256 0.744 0.096
O4 0.256 0.744 0.404
O5 0.419 0.581 0.750
O6 0.581 0.419 0.250
O7 0.744 0.256 0.596
O8 0.744 0.256 0.904

Output
Size of the total moment: 0.00 μB per formula unit
Electronic total energy: -122.27 eV for the cell shown
Excess energy over the best structure of this formula in the dataset: 0 meV per atom
ΔE_f (raw): -2.90 eV/atom

[8]
Here is crystalline KHf2O4 at its relaxed geometry from Alexandria via LeMat-Bulk. Energies are from PBE-GGA.

a b c (Å): 6.600 6.600 6.600
angles (deg): 140.14 140.14 57.63
Sites, in units of the cell vectors:
K1 0.000 0.000 0.000
Hf1 0.379 0.379 0.000
Hf2 0.621 0.621 0.000
O1 0.000 0.500 0.500
O2 0.225 0.225 0.000
O3 0.500 0.000 0.500
O4 0.775 0.775 0.000

Output
Size of the total moment: 0.00 μB per formula unit
Electronic total energy: -49.99 eV for the cell shown
Excess energy over the best structure of this formula in the dataset: 1593 meV per atom
ΔE_f (raw): -1.31 eV/atom

[9]
Here is crystalline KHfO3 at its relaxed geometry from Alexandria via LeMat-Bulk. Energies are from PBE-GGA.

a b c (Å): 5.927 5.927 7.249
angles (deg): 117.58 117.58 40.94
Sites, in units of the cell vectors:
K1 0.133 0.133 0.455
K2 0.867 0.867 0.545
Hf1 0.385 0.385 0.068
Hf2 0.615 0.615 0.932
O1 0.161 0.161 0.943
O2 0.401 0.401 0.805
O3 0.435 0.435 0.397
O4 0.565 0.565 0.603
O5 0.599 0.599 0.195
O6 0.839 0.839 0.057

Output
Size of the total moment: 0.00 μB per formula unit
Electronic total energy: -77.53 eV for the cell shown
ΔE_f (raw): -2.57 eV/atom

[10]
Here is crystalline KHfO3 at its relaxed geometry from Alexandria via LeMat-Bulk. Energies are from PBE-GGA.

a b c (Å): 13.122 13.122 13.122
angles (deg): 164.16 164.16 22.48
Sites, in units of the cell vectors:
K1 0.000 0.000 0.000
K2 0.750 0.250 0.500
Hf1 0.130 0.630 0.500
Hf2 0.370 0.870 0.500
O1 0.327 0.327 0.000
O2 0.357 0.099 0.258
O3 0.673 0.673 0.000
O4 0.841 0.099 0.742
O5 0.901 0.159 0.258
O6 0.901 0.643 0.742

Output
Size of the total moment: 0.01 μB per formula unit
Electronic total energy: -70.07 eV for the cell shown
ΔE_f (raw): -1.82 eV/atom

[11]
Here is crystalline KHfO3 at its relaxed geometry from Alexandria via LeMat-Bulk. Energies are from PBE-GGA.

a b c (Å): 3.978 6.058 6.786
angles (deg): 94.01 98.65 106.53
Sites, in units of the cell vectors:
K1 0.000 0.000 0.000
K2 0.485 0.567 0.120
Hf1 0.056 0.504 0.571
Hf2 0.376 0.043 0.568
O1 0.130 0.749 0.371
O2 0.328 0.795 0.761
O3 0.494 0.402 0.481
O4 0.583 0.240 0.863
O5 0.884 0.453 0.858
O6 0.897 0.123 0.534

Output
Size of the total moment: 0.00 μB per formula unit
Electronic total energy: -77.12 eV for the cell shown
ΔE_f (raw): -2.53 eV/atom

[12]
Here is crystalline KHfO3 at its relaxed geometry from Alexandria via LeMat-Bulk. Energies are from PBE-GGA.

a b c (Å): 7.384 7.384 5.988
angles (deg): 90.00 90.00 113.12
Sites, in units of the cell vectors:
K1 0.114 0.386 0.250
K2 0.386 0.114 0.750
K3 0.614 0.886 0.250
K4 0.886 0.614 0.750
Hf1 0.142 0.858 0.294
Hf2 0.358 0.642 0.794
Hf3 0.642 0.358 0.206
Hf4 0.858 0.142 0.706
O1 0.034 0.966 0.603
O2 0.131 0.369 0.750
O3 0.235 0.765 0.008
O4 0.265 0.735 0.508
O5 0.369 0.131 0.250
O6 0.466 0.534 0.103
O7 0.534 0.466 0.897
O8 0.631 0.869 0.750
O9 0.735 0.265 0.492
O10 0.765 0.235 0.992
O11 0.869 0.631 0.250
O12 0.966 0.034 0.397

Output
Size of the total moment: 0.00 μB per formula unit
Electronic total energy: -153.98 eV for the cell shown
ΔE_f (raw): -2.51 eV/atom

[13]
Here is crystalline KHfO2 at its relaxed geometry from Alexandria via LeMat-Bulk. Energies are from PBE-GGA.

a b c (Å): 6.659 6.659 6.659
angles (deg): 129.81 129.81 73.70
Sites, in units of the cell vectors:
K1 0.000 0.000 0.000
K2 0.750 0.250 0.500
Hf1 0.250 0.750 0.500
Hf2 0.500 0.500 0.000
O1 0.286 0.625 0.161
O2 0.375 0.536 0.661
O3 0.464 0.125 0.839
O4 0.875 0.714 0.339

Output
Size of the total moment: 0.00 μB per formula unit
Electronic total energy: -60.70 eV for the cell shown
ΔE_f (raw): -2.35 eV/atom

[14]
Here is crystalline KHfO3 at its relaxed geometry from Alexandria via LeMat-Bulk. Energies are from PBE-GGA.

a b c (Å): 3.173 7.116 6.410
angles (deg): 90.00 90.13 90.00
Sites, in units of the cell vectors:
K1 0.000 0.248 0.000
K2 0.000 0.752 0.000
Hf1 0.003 0.500 0.526
Hf2 0.502 0.000 0.485
O1 0.003 0.184 0.571
O2 0.003 0.816 0.571
O3 0.501 0.000 0.192
O4 0.502 0.394 0.306
O5 0.502 0.606 0.306
O6 0.504 0.500 0.727

Output
Size of the total moment: 0.00 μB per formula unit
Electronic total energy: -76.90 eV for the cell shown
ΔE_f (raw): -2.50 eV/atom

[15]
Here is crystalline KHfO3 at its relaxed geometry from Alexandria via LeMat-Bulk. Energies are from PBE-GGA.

a b c (Å): 7.992 7.992 5.369
angles (deg): 90.00 90.00 154.37
Sites, in units of the cell vectors:
K1 0.180 0.820 0.750
K2 0.820 0.180 0.250
Hf1 0.457 0.543 0.750
Hf2 0.543 0.457 0.250
O1 0.000 0.000 0.000
O2 0.000 0.000 0.500
O3 0.047 0.362 0.750
O4 0.362 0.047 0.250
O5 0.638 0.953 0.750
O6 0.953 0.638 0.250

Output
Size of the total moment: 0.00 μB per formula unit
Electronic total energy: -69.00 eV for the cell shown
ΔE_f (raw): -1.72 eV/atom

[16]
Here is crystalline KHfO3 at its relaxed geometry from Alexandria via LeMat-Bulk. Energies are from PBE-GGA.

a b c (Å): 7.781 7.781 7.781
angles (deg): 60.00 60.00 60.00
Sites, in units of the cell vectors:
K1 0.000 0.000 0.000
K2 0.000 0.000 0.500
K3 0.000 0.500 0.000
K4 0.500 0.000 0.000
Hf1 0.000 0.500 0.500
Hf2 0.500 0.000 0.500
Hf3 0.500 0.500 0.000
Hf4 0.500 0.500 0.500
O1 0.182 0.182 0.568
O2 0.182 0.568 0.182
O3 0.182 0.568 0.568
O4 0.432 0.432 0.818
O5 0.432 0.818 0.432
O6 0.432 0.818 0.818
O7 0.568 0.182 0.182
O8 0.568 0.182 0.568
O9 0.568 0.568 0.182
O10 0.818 0.432 0.432
O11 0.818 0.432 0.818
O12 0.818 0.818 0.432

Output
Size of the total moment: 1.00 μB per formula unit
Electronic total energy: -152.59 eV for the cell shown
ΔE_f (raw): -2.44 eV/atom

[17]
Here is crystalline KHf6O12 at its relaxed geometry from Alexandria via LeMat-Bulk. Energies are from PBE-GGA.

a b c (Å): 6.447 6.447 6.447
angles (deg): 104.48 104.48 104.48
Sites, in units of the cell vectors:
K1 0.000 0.000 0.000
Hf1 0.238 0.238 0.627
Hf2 0.238 0.627 0.238
Hf3 0.373 0.762 0.762
Hf4 0.627 0.238 0.238
Hf5 0.762 0.373 0.762
Hf6 0.762 0.762 0.373
O1 0.127 0.500 0.873
O2 0.127 0.873 0.500
O3 0.188 0.459 0.459
O4 0.459 0.188 0.459
O5 0.459 0.459 0.188
O6 0.500 0.127 0.873
O7 0.500 0.873 0.127
O8 0.541 0.541 0.812
O9 0.541 0.812 0.541
O10 0.812 0.541 0.541
O11 0.873 0.127 0.500
O12 0.873 0.500 0.127

Output
Size of the total moment: 0.00 μB per formula unit
Electronic total energy: -178.47 eV for the cell shown
ΔE_f (raw): -3.06 eV/atom

[18]
Here is crystalline KHfO3 at its relaxed geometry from Alexandria via LeMat-Bulk. Energies are from PBE-GGA.

a b c (Å): 7.641 5.886 7.020
angles (deg): 90.00 99.77 90.00
Sites, in units of the cell vectors:
K1 0.098 0.240 0.024
K2 0.098 0.260 0.524
K3 0.902 0.740 0.476
K4 0.902 0.760 0.976
Hf1 0.393 0.685 0.335
Hf2 0.393 0.815 0.835
Hf3 0.607 0.185 0.165
Hf4 0.607 0.315 0.665
O1 0.154 0.592 0.268
O2 0.154 0.908 0.768
O3 0.404 0.505 0.018
O4 0.404 0.995 0.518
O5 0.413 0.564 0.630
O6 0.413 0.936 0.130
O7 0.587 0.064 0.870
O8 0.587 0.436 0.370
O9 0.596 0.005 0.482
O10 0.596 0.495 0.982
O11 0.846 0.092 0.232
O12 0.846 0.408 0.732

Output
Size of the total moment: 0.00 μB per formula unit
Electronic total energy: -154.11 eV for the cell shown
ΔE_f (raw): -2.52 eV/atom

[19]
Here is crystalline KHfO3 at its relaxed geometry from Alexandria via LeMat-Bulk. Energies are from PBE-GGA.

a b c (Å): 3.258 7.060 7.067
angles (deg): 74.62 77.97 77.02
Sites, in units of the cell vectors:
K1 0.112 0.204 0.107
K2 0.888 0.796 0.893
Hf1 0.311 0.286 0.586
Hf2 0.689 0.714 0.414
O1 0.158 0.581 0.614
O2 0.241 0.791 0.226
O3 0.434 0.928 0.593
O4 0.566 0.072 0.407
O5 0.759 0.209 0.774
O6 0.842 0.419 0.386

Output
Size of the total moment: 0.00 μB per formula unit
Electronic total energy: -77.23 eV for the cell shown
ΔE_f (raw): -2.54 eV/atom

[20]
Here is crystalline KHfO3 at its relaxed geometry from Alexandria via LeMat-Bulk. Energies are from PBE-GGA.

a b c (Å): 6.494 7.149 7.028
angles (deg): 90.00 90.00 90.00
Sites, in units of the cell vectors:
K1 0.000 0.000 0.000
K2 0.000 0.500 0.000
K3 0.500 0.000 0.500
K4 0.500 0.500 0.500
Hf1 0.012 0.250 0.417
Hf2 0.488 0.750 0.917
Hf3 0.512 0.250 0.083
Hf4 0.988 0.750 0.583
O1 0.074 0.559 0.379
O2 0.074 0.941 0.379
O3 0.208 0.750 0.774
O4 0.292 0.250 0.274
O5 0.426 0.059 0.879
O6 0.426 0.441 0.879
O7 0.574 0.559 0.121
O8 0.574 0.941 0.121
O9 0.708 0.750 0.726
O10 0.792 0.250 0.226
O11 0.926 0.059 0.621
O12 0.926 0.441 0.621

Output
Size of the total moment: 1.00 μB per formula unit
Electronic total energy: -150.74 eV for the cell shown
ΔE_f (raw): -2.35 eV/atom